[1]
CsLuTc | PBE | optimized geometry

a b c (Å): 5.095 5.095 5.095
angles (deg): 60.00 60.00 60.00
Element x y z (fractional)
Tc 0.750 0.750 0.750
Cs 0.250 0.250 0.250
Lu 0.000 0.000 0.000

- relative energy among the computed polymorphs (meV/atom) = 0
- V (Å³ per atom) = 31.18
- total moment (μB per cell) = 1.28
- density (Mg/m³) = 7.206

=====

[2]
CsLuTe | PBE | optimized geometry

a b c (Å): 5.399 5.399 5.399
angles (deg): 60.00 60.00 60.00
Element x y z (fractional)
Cs 0.250 0.250 0.250
Te 0.750 0.750 0.750
Lu 0.000 0.000 0.000

- relative energy among the computed polymorphs (meV/atom) = 0
- V (Å³ per atom) = 37.10
- total moment (μB per cell) = 0.02
- density (Mg/m³) = 6.496

=====

[3]
CsLuTe | PBE | optimized geometry

a b c (Å): 5.938 5.938 5.938
angles (deg): 60.00 60.00 60.00
Element x y z (fractional)
Te 0.750 0.750 0.750
Cs 0.000 0.000 0.000
Lu 0.250 0.250 0.250

- relative energy among the computed polymorphs (meV/atom) = 296
- V (Å³ per atom) = 49.34
- total moment (μB per cell) = 0.00
- density (Mg/m³) = 4.885

=====

[4]
CsLuTlTe3 | PBE | optimized geometry

a b c (Å): 8.880 8.880 12.089
angles (deg): 90.00 90.00 150.35
Element x y z (fractional)
Te 0.443 0.557 0.250
Te 0.879 0.121 0.983
Te 0.121 0.879 0.017
Te 0.879 0.121 0.517
Te 0.557 0.443 0.750
Te 0.121 0.879 0.483
Lu 0.500 0.500 0.500
Lu 0.500 0.500 0.000
Tl 0.943 0.057 0.750
Tl 0.057 0.943 0.250
Cs 0.250 0.750 0.750
Cs 0.750 0.250 0.250

- V (Å³ per atom) = 39.30
- total moment (μB per cell) = 0.06
- density (Mg/m³) = 6.304
- total energy (eV/atom) = -3.718

=====

[5]
CsLuTh | PBE | optimized geometry

a b c (Å): 5.886 5.886 5.886
angles (deg): 60.00 60.00 60.00
Element x y z (fractional)
Lu 0.250 0.250 0.250
Th 0.000 0.000 0.000
Cs 0.500 0.500 0.500

- relative energy among the computed polymorphs (meV/atom) = 0
- V (Å³ per atom) = 48.05
- total moment (μB per cell) = 2.84
- density (Mg/m³) = 6.219

=====

[6]
CsLuTh | PBE | optimized geometry

a b c (Å): 5.485 5.485 5.485
angles (deg): 60.00 60.00 60.00
Element x y z (fractional)
Th 0.250 0.250 0.250
Cs 0.000 0.000 0.000
Lu 0.750 0.750 0.750

- relative energy among the computed polymorphs (meV/atom) = 41
- V (Å³ per atom) = 38.89
- total moment (μB per cell) = 0.00
- density (Mg/m³) = 7.685

=====

[7]
CsLuU | PBE | optimized geometry

a b c (Å): 5.349 5.349 5.349
angles (deg): 60.00 60.00 60.00
Element x y z (fractional)
Cs 0.000 0.000 0.000
U 0.250 0.250 0.250
Lu 0.750 0.750 0.750

- relative energy among the computed polymorphs (meV/atom) = 98
- V (Å³ per atom) = 36.07
- total moment (μB per cell) = 3.70
- density (Mg/m³) = 8.377

=====

[8]
CsLuU | PBE | optimized geometry

a b c (Å): 5.862 5.862 5.862
angles (deg): 60.00 60.00 60.00
Element x y z (fractional)
U 0.000 0.000 0.000
Lu 0.250 0.250 0.250
Cs 0.500 0.500 0.500

- relative energy among the computed polymorphs (meV/atom) = 0
- V (Å³ per atom) = 47.48
- total moment (μB per cell) = 6.17
- density (Mg/m³) = 6.364